Entry 1:
VGaPd5 | PBE | relaxed

Lattice parameters (Å, degrees): 4.4251 4.4251 5.7431 90.00 90.00 90.00
Space group P4/mmm (No. 123)
One atom of each set of equivalent atoms:
V 0.0000 0.0000 0.0000
Ga 0.5000 0.5000 0.5000
Pd 0.0000 0.0000 0.5000
Pd 0.0000 0.5000 0.2361

Properties
The calculation puts the mass density at 9.6 g/cm3. The value obtained for the total energy is -0.4140 Ry/atom. The value obtained for the energy above the most stable polymorph in this dataset is 0 meV per atom.

Entry 2:
VGa2Pd | PBE | relaxed

Lattice parameters (Å, degrees): 2.8019 2.8019 7.4014 90.00 90.00 90.00
Space group P4/mmm (No. 123)
One atom of each set of equivalent atoms:
V 0.0000 0.0000 0.0000
Ga 0.5000 0.5000 0.2516
Pd 0.0000 0.0000 0.5000

Properties
The calculation puts the mass density at 8.5 g/cm3. The value obtained for the total energy is -0.3997 Ry/atom.

Entry 3:
VGa2Pd8 | PBE | relaxed

Lattice parameters (Å, degrees): 7.2469 11.3678 4.4584 90.00 109.57 90.00
Space group C2/m (No. 12)
One atom of each set of equivalent atoms:
V 0.0000 0.0000 0.0000
Ga 0.0000 0.3147 0.5000
Pd 0.0000 0.2210 0.0000
Pd 0.1241 0.5000 0.8195
Pd 0.1992 0.1187 0.6037

Properties
The calculation puts the mass density at 10.0 g/cm3. The value obtained for the total energy is -0.4018 Ry/atom.

Entry 4:
V2GaPd2 | PBE | relaxed

Lattice parameters (Å, degrees): 7.5263 7.5263 2.7505 90.00 90.00 90.00
Space group P4/mbm (No. 127)
One atom of each set of equivalent atoms:
V 0.1108 0.3892 0.0000
Ga 0.0000 0.0000 0.0000
Pd 0.1789 0.6789 0.5000

Properties
The calculation puts the mass density at 8.2 g/cm3. The value obtained for the total energy is -0.4648 Ry/atom. The value obtained for the energy above the most stable polymorph in this dataset is 50 meV per atom.

Entry 5:
VGaPd14 | PBE | relaxed

Lattice parameters (Å, degrees): 5.6004 5.6004 7.7196 90.00 90.00 90.00
Space group P4/mmm (No. 123)
One atom of each set of equivalent atoms:
V 0.0000 0.0000 0.0000
Ga 0.5000 0.5000 0.0000
Pd 0.0000 0.0000 0.5000
Pd 0.0000 0.5000 0.0000
Pd 0.0000 0.5000 0.5000
Pd 0.2481 0.2481 0.2413
Pd 0.5000 0.5000 0.5000

Properties
The calculation puts the mass density at 11.0 g/cm3. The value obtained for the total energy is -0.4033 Ry/atom.

Entry 6:
V2GaPd | PBE | relaxed

Lattice parameters (Å, degrees): 3.6331 3.6331 4.2616 90.00 90.00 90.00
Space group P4/mmm (No. 123)
One atom of each set of equivalent atoms:
V 0.0000 0.5000 0.0000
Ga 0.0000 0.0000 0.5000
Pd 0.5000 0.5000 0.5000

Properties
The calculation puts the mass density at 8.2 g/cm3. The value obtained for the total energy is -0.5056 Ry/atom.

> What is the mass density in the fourth record?

8.2 g/cm3